(1)
{"formula": "K2Tm2IrO6", "functional": "PBE-GGA", "state": "relaxed", "lattice": [[2.859, -4.907, 0.000], [2.859, 4.907, 0.000], [-1.751, 0.000, 6.333]], "species": ["K", "K", "Tm", "Tm", "Ir", "O", "O", "O", "O", "O", "O"], "fractional_positions": [[0.162, 0.838, 0.000], [0.838, 0.162, 0.000], [0.336, 0.664, 0.500], [0.664, 0.336, 0.500], [0.000, 0.000, 0.500], [0.049, 0.366, 0.672], [0.257, 0.257, 0.324], [0.366, 0.049, 0.672], [0.634, 0.951, 0.328], [0.743, 0.743, 0.676], [0.951, 0.634, 0.328]]}


(2)
{"formula": "K2TmIrO4", "functional": "PBE-GGA", "state": "relaxed", "lattice": [[5.504, 0.000, 0.000], [0.000, 3.378, 0.000], [-2.023, 0.000, 6.148]], "species": ["K", "K", "Tm", "Ir", "O", "O", "O", "O"], "fractional_positions": [[0.000, 0.000, 0.000], [0.500, 0.500, 0.000], [0.000, 0.500, 0.500], [0.500, 0.000, 0.500], [0.236, 0.000, 0.691], [0.294, 0.500, 0.322], [0.706, 0.500, 0.678], [0.764, 0.000, 0.309]]}


(3)
{"formula": "KTmIrO6", "functional": "PBE-GGA", "state": "relaxed", "lattice": [[5.559, 0.000, 0.000], [-2.779, 4.814, 0.000], [0.000, 0.000, 5.851]], "species": ["K", "Tm", "Ir", "O", "O", "O", "O", "O", "O"], "fractional_positions": [[0.000, 0.000, 0.000], [0.333, 0.667, 0.500], [0.667, 0.333, 0.500], [0.400, 0.042, 0.686], [0.400, 0.358, 0.314], [0.642, 0.042, 0.314], [0.642, 0.600, 0.686], [0.958, 0.358, 0.686], [0.958, 0.600, 0.314]]}


(4)
{"formula": "K2TmIr3O12", "functional": "PBE-GGA", "state": "relaxed", "lattice": [[3.643, 2.103, 6.284], [-3.643, 2.103, 6.284], [0.000, -4.207, 6.284]], "species": ["K", "K", "Tm", "Ir", "Ir", "Ir", "O", "O", "O", "O", "O", "O", "O", "O", "O", "O", "O", "O"], "fractional_positions": [[0.106, 0.106, 0.106], [0.894, 0.894, 0.894], [0.500, 0.500, 0.500], [0.000, 0.500, 0.500], [0.500, 0.000, 0.500], [0.500, 0.500, 0.000], [0.151, 0.572, 0.572], [0.186, 0.186, 0.585], [0.186, 0.585, 0.186], [0.415, 0.814, 0.814], [0.428, 0.428, 0.849], [0.428, 0.849, 0.428], [0.572, 0.151, 0.572], [0.572, 0.572, 0.151], [0.585, 0.186, 0.186], [0.814, 0.415, 0.814], [0.814, 0.814, 0.415], [0.849, 0.428, 0.428]]}


(5)
{"formula": "KUIrO6", "functional": "PBE-GGA", "state": "relaxed", "lattice": [[-3.634, 3.938, 5.344], [3.634, -3.938, 5.344], [3.634, 3.938, -5.344]], "species": ["K", "K", "U", "U", "Ir", "Ir", "O", "O", "O", "O", "O", "O", "O", "O", "O", "O", "O", "O"], "fractional_positions": [[0.365, 0.115, 0.250], [0.635, 0.885, 0.750], [0.000, 0.500, 0.500], [0.500, 0.500, 0.000], [0.000, 0.000, 0.500], [0.000, 0.500, 0.000], [0.049, 0.799, 0.250], [0.052, 0.419, 0.225], [0.052, 0.827, 0.633], [0.306, 0.173, 0.725], [0.306, 0.581, 0.133], [0.328, 0.578, 0.750], [0.672, 0.422, 0.250], [0.694, 0.419, 0.867], [0.694, 0.827, 0.275], [0.948, 0.173, 0.367], [0.948, 0.581, 0.775], [0.951, 0.201, 0.750]]}


Number 1: spin magnetization 0.096 μB/atom, ΔE_f (raw) -2353 kJ/mol of formula units, final energy -6.7398 eV per atom. Number 2: spin magnetization 0.000 μB/atom, ΔE_f (raw) -1403 kJ/mol of formula units, final energy -6.2372 eV per atom. Number 3: spin magnetization 0.069 μB/atom, ΔE_f (raw) -1291 kJ/mol of formula units, final energy -6.3949 eV per atom. Number 4: spin magnetization 0.246 μB/atom, ΔE_f (raw) -2067 kJ/mol of formula units, final energy -6.3429 eV per atom. Number 5: spin magnetization 0.000 μB/atom, ΔE_f (raw) -1706 kJ/mol of formula units, final energy -7.6304 eV per atom.